# La3PrCu2

Crystalline La3PrCu2 at its relaxed geometry (GGA-PBE, Alexandria via LeMat-Bulk).

For the volume, the calculation gives 28.23 Å³/atom. For the theoretical density, the calculation gives 6713 kg/m³. For the energy relative to the elements, the calculation gives -104 meV/atom. The calculation puts the total magnetization at 0.00 μB per formula unit.

a = 5.090 Å, b = 9.162 Å, c = 7.264 Å
α = 90.00°, β = 90.00°, γ = 90.00°
Space group Pmc2_1 (No. 26)
Symmetry-distinct sites (fractional):
1 La 0.000 0.079 0.000
2 La 0.000 0.342 0.360
3 La 0.500 0.158 0.646
4 Pr 0.500 0.424 0.009
5 Cu 0.000 0.347 0.765
6 Cu 0.500 0.156 0.242